The following is a DFT calculation (PBE+U) of crystalline BiWIO4 at its relaxed geometry.

abc: 11.530 7.642 7.765
angles: 90.00 117.90 90.00
Space group C2/m (No. 12)
Inequivalent atoms, fractional coordinates:
1 Bi 0.236 0.000 0.210
2 W 0.126 0.500 0.217
3 I 0.004 0.000 0.747
4 O 0.060 0.500 0.903
5 O 0.146 0.500 0.468
6 O 0.218 0.304 0.223

For the raw total energy, the calculation gives -6.094 eV/atom.